A.
Below is a geometry-optimized CuSn2Ru structure, with properties calculated at the GGA-PBE level.

Unit cell a=4.6471 b=4.6471 c=4.6471 alpha=60.00 beta=60.00 gamma=60.00
Sites, in units of the cell vectors:
Cu: 0.0000 0.0000 0.0000
Sn: 0.2500 0.2500 0.2500
Sn: 0.7500 0.7500 0.7500
Ru: 0.5000 0.5000 0.5000



B.
Below is a geometry-optimized CuSn2Ru structure, with properties calculated at the GGA-PBE level.

Unit cell a=7.2874 b=7.2874 c=5.9387 alpha=52.15 beta=52.15 gamma=90.00
Sites, in units of the cell vectors:
Cu: 0.2500 0.7500 0.5000
Cu: 0.5000 0.5000 0.0000
Sn: 0.6221 0.1250 0.2500
Sn: 0.8750 0.8721 0.7500
Sn: 0.1279 0.6250 0.2500
Sn: 0.3750 0.3779 0.7500
Ru: 0.7500 0.2500 0.5000
Ru: 0.0000 0.0000 0.0000



Most stable structure: A